No. 1
The following is a DFT calculation (PBE-GGA) of crystalline AcTb7Pm3 at its relaxed geometry.

Lattice parameters (Å, degrees): 6.0338 11.2355 11.3425 90.00 90.00 90.00
Space group Immm (No. 71)
Unique sites:
Ac  0.0000  0.0000  0.0000 (multiplicity 2)
Tb  0.0000  0.0000  0.3050 (multiplicity 4)
Tb  0.0000  0.3089  0.2124 (multiplicity 8)
Tb  0.0000  0.5000  0.5000 (multiplicity 2)
Pm  0.0000  0.2135  0.5000 (multiplicity 4)
Pm  0.0000  0.5000  0.0000 (multiplicity 2)

Its final energy is -95.43 eV for the cell shown. The calculation puts the density of states at the Fermi level at 33.33 states/eV per cell. The energy above the most stable polymorph in this dataset is 61 meV/atom. The calculation puts the formation energy at 3.057 eV/f.u. Its magnetization is 0.61 Bohr magnetons per cell.

---

No. 2
The following is a DFT calculation (PBE-GGA) of crystalline AcTbPm at its relaxed geometry.

Lattice parameters (Å, degrees): 6.5716 12.1259 6.3012 90.00 118.53 90.00
Space group P2_1/c (No. 14)
Unique sites:
Ac  0.1686  0.1330  0.1560 (multiplicity 4)
Tb  0.4806  0.6169  0.6565 (multiplicity 4)
Pm  0.1865  0.6140  0.0093 (multiplicity 4)

Its final energy is -53.28 eV for the cell shown. The calculation puts the density of states at the Fermi level at 15.23 states/eV per cell. The energy above the most stable polymorph in this dataset is 10 meV/atom. The calculation puts the formation energy at 0.169 eV/f.u. Its magnetization is 0.00 Bohr magnetons per cell.

---

No. 3
The following is a DFT calculation (PBE-GGA) of crystalline Ac6Tb4Pm at its relaxed geometry.

Lattice parameters (Å, degrees): 17.7517 7.0645 7.1118 90.00 96.53 90.00
Space group C2 (No. 5)
Unique sites:
Ac  0.0000  0.0000  0.0000 (multiplicity 2)
Ac  0.0000  0.3128  0.5000 (multiplicity 2)
Ac  0.1164  0.7898  0.3963 (multiplicity 4)
Ac  0.1859  0.1490  0.7832 (multiplicity 4)
Tb  0.1561  0.6464  0.8790 (multiplicity 4)
Tb  0.1722  0.3006  0.2789 (multiplicity 4)
Pm  0.0000  0.4742  0.0000 (multiplicity 2)

Its final energy is -91.63 eV for the cell shown. The calculation puts the density of states at the Fermi level at 31.02 states/eV per cell. The calculation puts the formation energy at 2.108 eV/f.u. Its magnetization is 0.00 Bohr magnetons per cell.